No. 1
## Th4Tl2Sn (PBE-GGA)

Data for an optimized crystal structure of Th4Tl2Sn.

The space group is Cmcm (No. 63) and the conventional cell measures 4.889, 10.691 and 16.531 Å, with angles of 90.00, 90.00 and 90.00 degrees. The asymmetric unit holds Th at (0.000, 0.000, 0.000), Th at (0.000, 0.283, 0.250), Th at (0.000, 0.387, 0.640), Tl at (0.000, 0.307, 0.057) and Sn at (0.000, 0.023, 0.750).

As for the density: 11.190 g cm⁻³. The total energy comes out at -156.6 eV/cell. The formation energy is -0.1053 eV per atom.


No. 2
## In3NiAg (PBE-GGA)

Data for an optimized crystal structure of In3NiAg.

The space group is Pm-3m (No. 221) and the conventional cell measures 5.254, 5.254 and 5.254 Å, with angles of 90.00, 90.00 and 90.00 degrees. The asymmetric unit holds In at (0.000, 0.000, 0.500), Ni at (0.500, 0.500, 0.500) and Ag at (0.000, 0.000, 0.000).

As for the density: 5.849 g cm⁻³. Its energy above the most stable polymorph in this dataset is 0.784 eV per atom. The total energy comes out at -13.1 eV/cell. The formation energy is 0.7591 eV per atom.


No. 3
## BaCrTe2 (PBE-GGA)

Data for an optimized crystal structure of BaCrTe2.

The space group is F-43m (No. 216) and the conventional cell measures 7.947, 7.947 and 7.947 Å, with angles of 90.00, 90.00 and 90.00 degrees. The asymmetric unit holds Ba at (0.000, 0.000, 0.000), Cr at (0.250, 0.250, 0.250), Te at (0.000, 0.000, 0.500) and Te at (0.250, 0.250, 0.750).

The formation energy from raw total energies comes out at -4.8 kJ per mole of atoms. As for the density: 5.883 g cm⁻³. The total energy comes out at -72.1 eV/cell.


No. 4
## Pm2Y3Er7 (PBE-GGA)

Data for an optimized crystal structure of Pm2Y3Er7.

The space group is P2/m (No. 10) and the conventional cell measures 6.312, 3.511 and 17.373 Å, with angles of 90.00, 96.22 and 90.00 degrees. The asymmetric unit holds Pm at (0.060, 0.000, 0.174), Y at (0.451, 0.500, 0.842), Y at (0.500, 0.000, 0.500), Er at (0.000, 0.500, 0.500), Er at (0.225, 0.000, 0.666), Er at (0.256, 0.000, 0.999) and Er at (0.275, 0.500, 0.336).

As for the density: 7.495 g cm⁻³. Its energy above the most stable polymorph in this dataset is 0.000 eV per atom. The total energy comes out at -59.9 eV/cell. The formation energy is 0.0811 eV per atom.


No. 5
## ThReSn (PBE-GGA)

Data for an optimized crystal structure of ThReSn.

The space group is P4/nmm (No. 129, origin choice 2) and the conventional cell measures 4.052, 4.052 and 9.333 Å, with angles of 90.00, 90.00 and 90.00 degrees. The asymmetric unit holds Th at (0.250, 0.250, 0.192), Re at (0.250, 0.250, 0.857) and Sn at (0.250, 0.250, 0.575).

As for the density: 11.637 g cm⁻³. The total energy comes out at -45.9 eV/cell. The formation energy is 0.3129 eV per atom.


No. 6
## Pu4HgPb3 (PBE-GGA)

Data for an optimized crystal structure of Pu4HgPb3.

The space group is Pmmm (No. 47) and the conventional cell measures 4.600, 4.897 and 9.787 Å, with angles of 90.00, 90.00 and 90.00 degrees. The asymmetric unit holds Pu at (0.000, 0.000, 0.000), Pu at (0.000, 0.000, 0.500), Pu at (0.000, 0.500, 0.236), Hg at (0.500, 0.500, 0.000), Pb at (0.500, 0.000, 0.249) and Pb at (0.500, 0.500, 0.500).

As for the density: 13.545 g cm⁻³. The total energy comes out at -69.6 eV/cell. The formation energy is -0.1007 eV per atom.


No. 7
## Pm3NdCd (PBE-GGA)

Data for an optimized crystal structure of Pm3NdCd.

The space group is C2/m (No. 12) and the conventional cell measures 13.211, 3.778 and 12.972 Å, with angles of 90.00, 92.81 and 90.00 degrees. The asymmetric unit holds Pm at (0.040, 0.000, 0.190), Pm at (0.134, 0.500, 0.973), Pm at (0.146, 0.000, 0.447), Nd at (0.228, 0.000, 0.750) and Cd at (0.055, 0.500, 0.627).

As for the density: 7.104 g cm⁻³. Its energy above the most stable polymorph in this dataset is 0.000 eV per atom. The total energy comes out at -81.9 eV/cell. The formation energy is -0.1080 eV per atom.


No. 8
## AlPd5Au2 (PBE-GGA)

Data for an optimized crystal structure of AlPd5Au2.

The space group is I4/mmm (No. 139) and the conventional cell measures 4.045, 4.045 and 15.430 Å, with angles of 90.00, 90.00 and 90.00 degrees. The asymmetric unit holds Al at (0.000, 0.000, 0.000), Pd at (0.000, 0.000, 0.500), Pd at (0.000, 0.500, 0.117) and Au at (0.000, 0.000, 0.250).

As for the density: 12.538 g cm⁻³. Its energy above the most stable polymorph in this dataset is 0.000 eV per atom. The total energy comes out at -78.2 eV/cell. The formation energy is -0.3564 eV per atom.


No. 9
## Tm2InPt (PBE-GGA)

Data for an optimized crystal structure of Tm2InPt.

The space group is Fm-3m (No. 225) and the conventional cell measures 7.160, 7.160 and 7.160 Å, with angles of 90.00, 90.00 and 90.00 degrees. The asymmetric unit holds Tm at (0.250, 0.250, 0.250), In at (0.000, 0.000, 0.000) and Pt at (0.000, 0.000, 0.500).

As for the density: 11.722 g cm⁻³. Its energy above the most stable polymorph in this dataset is 0.102 eV per atom. The total energy comes out at -83.3 eV/cell. The formation energy is -0.7778 eV per atom.


no.,Fermi-level density of states (states/eV per cell)
1,35.58
2,5.28
3,14.54
4,17.91
5,7.74
6,40.05
7,27.57
8,15.76
9,14.75